Computed, not measured: a relaxed VClF2 crystal at the PBE+U level of DFT.

Values from the calculation:
- crystal system = trigonal
- spin magnetization (μB/cell) = 10.54
- ΔE to the lowest computed polymorph (meV per atom) = 0.0
- space-group type = No. 166
- electronic total energy (eV/atom) = -5.01
- DOS at the Fermi energy (states/eV/f.u.) = 2.310

Unit cell a=3.286 b=3.286 c=25.396 alpha=90.00 beta=90.00 gamma=120.00
Atoms (fractional coordinates):
V1 0.000 0.000 0.000
V2 0.333 0.667 0.667
V3 0.667 0.333 0.333
Cl1 0.000 0.000 0.500
Cl2 0.333 0.667 0.167
Cl3 0.667 0.333 0.833
F1 0.000 0.000 0.369
F2 0.000 0.000 0.631
F3 0.333 0.667 0.036
F4 0.333 0.667 0.298
F5 0.667 0.333 0.702
F6 0.667 0.333 0.964